(1)
Crystalline TmCo2GeP at its relaxed geometry. Source: the Open Quantum Materials Database, functional PBE-GGA.

```
5
Lattice="-1.9418 1.9418 4.8229 1.9418 -1.9418 4.8229 1.9418 1.9418 -4.8229" Properties=species:S:1:pos:R:3 pbc="T T T"
Tm 0.0000 0.0000 0.0000
Co 1.9418 0.0000 2.5301
Co 0.0000 1.9418 2.5301
Ge 0.0000 0.0000 6.0515
P 0.0000 0.0000 3.5934
```

Values from the calculation:
V: 14.548 Å³/atom
total magnetization: 1.0 μB/f.u.
symmetry: I4mm (107)

(2)
Crystalline Nb2InCo at its relaxed geometry. Source: the Open Quantum Materials Database, functional PBE-GGA.

```
4
Lattice="0.0000 3.2407 3.2407 3.2407 0.0000 3.2407 3.2407 3.2407 0.0000" Properties=species:S:1:pos:R:3 pbc="T T T"
Nb 0.0000 0.0000 0.0000
Nb 1.6204 1.6204 1.6204
In 3.2407 3.2407 3.2407
Co 4.8611 4.8611 4.8611
```

Values from the calculation:
V: 17.018 Å³/atom
total magnetization: 2.1 μB/f.u.
symmetry: F-43m (216)

(3)
Crystalline TlGa2Ni at its relaxed geometry. Source: the Open Quantum Materials Database, functional PBE-GGA.

```
4
Lattice="0.0000 3.3309 3.3309 3.3309 0.0000 3.3309 3.3309 3.3309 0.0000" Properties=species:S:1:pos:R:3 pbc="T T T"
Tl 0.0000 0.0000 0.0000
Ga 1.6654 1.6654 1.6654
Ga 3.3309 3.3309 3.3309
Ni 4.9963 4.9963 4.9963
```

Values from the calculation:
V: 18.477 Å³/atom
total magnetization: 0.0 μB/f.u.
symmetry: F-43m (216)

(4)
Crystalline LaSmNi2B2N2 at its relaxed geometry. Source: the Open Quantum Materials Database, functional PBE-GGA.

```
8
Lattice="3.6486 0.0000 0.0000 0.0000 3.6486 0.0000 0.0000 0.0000 7.5381" Properties=species:S:1:pos:R:3 pbc="T T T"
La 0.0000 0.0000 0.0000
Sm 1.8243 1.8243 2.6001
Ni 0.0000 1.8243 5.0501
Ni 1.8243 0.0000 5.0501
B 0.0000 0.0000 3.9353
B 1.8243 1.8243 6.2090
N 0.0000 0.0000 2.4866
N 1.8243 1.8243 0.1262
```

Values from the calculation:
V: 12.544 Å³/atom
total magnetization: 0.0 μB/f.u.
symmetry: P4mm (99)

(5)
Crystalline MgHgSO at its relaxed geometry. Source: the Open Quantum Materials Database, functional PBE-GGA.

```
8
Lattice="4.0086 0.0000 0.0000 0.0000 4.0086 0.0000 0.0000 0.0000 8.9578" Properties=species:S:1:pos:R:3 pbc="T T T"
Mg 1.0022 1.0022 1.7953
Mg 3.0065 3.0065 7.1624
Hg 1.0022 3.0065 4.4789
Hg 3.0065 1.0022 4.4789
S 1.0022 1.0022 7.3298
S 3.0065 3.0065 1.6279
O 1.0022 1.0022 8.8975
O 3.0065 3.0065 0.0603
```

Values from the calculation:
V: 17.993 Å³/atom
polymorph energy (0 for the lowest one): 560 meV/atom
symmetry: P4/nmm (129)

(6)
Crystalline CoSi3 at its relaxed geometry. Source: the Open Quantum Materials Database, functional PBE-GGA.

```
4
Lattice="3.6654 0.0000 0.0000 0.0000 3.6654 0.0000 0.0000 0.0000 3.6654" Properties=species:S:1:pos:R:3 pbc="T T T"
Co 0.0000 0.0000 0.0000
Si 0.0000 1.8327 1.8327
Si 1.8327 0.0000 1.8327
Si 1.8327 1.8327 0.0000
```

Values from the calculation:
V: 12.311 Å³/atom
total magnetization: 0.0 μB/f.u.
symmetry: Pm-3m (221)

(7)
Crystalline TbSmTh at its relaxed geometry. Source: the Open Quantum Materials Database, functional PBE-GGA.

```
3
Lattice="0.0000 3.8439 3.8439 3.8439 0.0000 3.8439 3.8439 3.8439 0.0000" Properties=species:S:1:pos:R:3 pbc="T T T"
Tb 0.0000 0.0000 0.0000
Sm 1.9219 1.9219 1.9219
Th 5.7658 5.7658 5.7658
```

Values from the calculation:
energy relative to the elements: 0.797 eV per atom
V: 37.862 Å³/atom
polymorph energy (0 for the lowest one): 0 meV/atom
total magnetization: 0.0 μB/f.u.
symmetry: F-43m (216)

(8)
Crystalline YZrNO at its relaxed geometry. Source: the Open Quantum Materials Database, functional PBE-GGA.

```
8
Lattice="3.5935 0.0000 0.0000 0.0000 6.1837 0.0000 0.0000 0.0000 5.9238" Properties=species:S:1:pos:R:3 pbc="T T T"
Y 0.0000 1.0758 0.0000
Y 0.0000 5.1078 2.9619
Zr 1.7968 2.2679 2.6916
Zr 1.7968 3.9158 5.6535
N 0.0000 1.1340 2.4240
N 0.0000 5.0497 5.3859
O 1.7968 1.8147 4.8345
O 1.7968 4.3690 1.8726
```

Values from the calculation:
V: 16.454 Å³/atom
polymorph energy (0 for the lowest one): 230 meV/atom
total magnetization: 0.5 μB/f.u.
symmetry: Pmc2_1 (26)

(9)
Crystalline ZnGaFeAu at its relaxed geometry. Source: the Open Quantum Materials Database, functional PBE-GGA.

```
4
Lattice="0.0000 3.1166 3.1166 3.1166 0.0000 3.1166 3.1166 3.1166 0.0000" Properties=species:S:1:pos:R:3 pbc="T T T"
Zn 0.0000 0.0000 0.0000
Ga 1.5583 1.5583 1.5583
Fe 3.1166 3.1166 3.1166
Au 4.6749 4.6749 4.6749
```

Values from the calculation:
V: 15.136 Å³/atom
polymorph energy (0 for the lowest one): 58 meV/atom
total magnetization: 2.5 μB/f.u.
symmetry: F-43m (216)

(10)
Crystalline LiReHg2F6 at its relaxed geometry. Source: the Open Quantum Materials Database, functional PBE-GGA.

```
20
Lattice="2.9950 1.7291 9.5798 -2.9950 1.7291 9.5798 0.0000 -3.4583 9.5798" Properties=species:S:1:pos:R:3 pbc="T T T"
Li 0.0000 0.0000 2.9894
Li 0.0000 0.0000 25.7499
Re 0.0000 0.0000 0.0000
Re 0.0000 0.0000 14.3697
Hg 0.0000 0.0000 6.3083
Hg 0.0000 0.0000 10.6872
Hg 0.0000 0.0000 18.0521
Hg 0.0000 0.0000 22.4310
F 0.0000 -1.9330 8.3745
F -1.6741 0.9665 8.3745
F -1.4201 -0.8199 15.4443
F 0.0000 -1.6397 13.2950
F -1.4201 0.8199 13.2950
F -1.6741 -0.9665 20.3648
F 1.6741 0.9665 8.3745
F 1.4201 -0.8199 15.4443
F 0.0000 1.6397 15.4443
F 1.4201 0.8199 13.2950
F 1.6741 -0.9665 20.3648
F 0.0000 1.9330 20.3648
```

Values from the calculation:
V: 14.883 Å³/atom
total magnetization: 2.0 μB/f.u.
symmetry: R-3m (166)

(11)
Crystalline PrSmPd2 at its relaxed geometry. Source: the Open Quantum Materials Database, functional PBE-GGA.

```
4
Lattice="4.6472 0.0000 0.0000 0.0000 1.9269 5.4162 0.0000 -1.9269 5.4162" Properties=species:S:1:pos:R:3 pbc="T T T"
Pr 0.0000 0.0000 0.0000
Sm 2.3236 0.0000 2.9669
Pd 0.0000 0.0000 7.8507
Pd 2.3236 0.0000 5.9894
```

Values from the calculation:
energy relative to the elements: -0.824 eV per atom
V: 24.251 Å³/atom
total magnetization: 0.0 μB/f.u.
symmetry: Amm2 (38)

(12)
Crystalline Ge2Mo8C3N3 at its relaxed geometry. Source: the Open Quantum Materials Database, functional PBE-GGA.

```
16
Lattice="3.1378 0.0000 0.0000 -1.5689 2.7175 0.0000 0.0000 0.0000 22.3967" Properties=species:S:1:pos:R:3 pbc="T T T"
Ge 0.0000 1.8116 5.6585
Ge 1.5689 0.9058 16.7383
Mo 0.0000 0.0000 3.5574
Mo 0.0000 0.0000 7.6250
Mo 0.0000 0.0000 14.7718
Mo 0.0000 0.0000 18.8394
Mo 0.0000 1.8116 1.3144
Mo 0.0000 1.8116 10.0953
Mo 1.5689 0.9058 12.3015
Mo 1.5689 0.9058 21.0823
C 0.0000 0.0000 0.0000
C 0.0000 1.8116 19.8436
C 1.5689 0.9058 2.5531
N 0.0000 0.0000 11.1984
N 0.0000 1.8116 13.6035
N 1.5689 0.9058 8.7932
```

Values from the calculation:
V: 11.936 Å³/atom
total magnetization: 0.0 μB/f.u.
symmetry: P-3m1 (164)

(13)
Crystalline Dy2HoTmTl2 at its relaxed geometry. Source: the Open Quantum Materials Database, functional PBE-GGA.

```
6
Lattice="5.3611 0.0000 0.0000 -2.6805 4.6428 0.0000 0.0000 0.0000 6.6818" Properties=species:S:1:pos:R:3 pbc="T T T"
Dy 0.0000 0.0000 1.6645
Dy 0.0000 0.0000 5.0173
Ho 0.0000 3.0952 3.3409
Tm 2.6805 1.5476 0.0000
Tl 0.0000 3.0952 0.0000
Tl 2.6805 1.5476 3.3409
```

Values from the calculation:
V: 27.719 Å³/atom
total magnetization: 0.9 μB/f.u.
symmetry: P-6m2 (187)

(14)
Crystalline LiCoPtPb at its relaxed geometry. Source: the Open Quantum Materials Database, functional PBE-GGA.

```
4
Lattice="0.0000 3.1320 3.1320 3.1320 0.0000 3.1320 3.1320 3.1320 0.0000" Properties=species:S:1:pos:R:3 pbc="T T T"
Li 0.0000 0.0000 0.0000
Co 3.1320 3.1320 3.1320
Pt 4.6980 4.6980 4.6980
Pb 1.5660 1.5660 1.5660
```

Values from the calculation:
V: 15.361 Å³/atom
polymorph energy (0 for the lowest one): 0 meV/atom
total magnetization: 1.2 μB/f.u.
symmetry: F-43m (216)

(15)
Crystalline Y2Ir5C4 at its relaxed geometry. Source: the Open Quantum Materials Database, functional PBE-GGA.

```
11
Lattice="0.0000 5.0847 5.4547 2.7100 0.0000 5.4547 2.7100 5.0847 0.0000" Properties=species:S:1:pos:R:3 pbc="T T T"
Y 2.7100 5.0847 1.6868
Y 2.7100 5.0847 9.2226
Ir 1.3550 2.5424 0.0000
Ir 1.3550 2.5424 2.7273
Ir 1.3550 2.5424 5.4547
Ir 2.7100 5.0847 5.4547
Ir 4.0649 7.6271 8.1820
C 2.7100 3.5584 4.0118
C 2.7100 3.5584 6.8976
C 2.7100 6.6111 4.0118
C 2.7100 6.6111 6.8976
```

Values from the calculation:
V: 13.666 Å³/atom
total magnetization: 0.0 μB/f.u.
symmetry: Fmmm (69)

(16)
Crystalline Na2HfTe3 at its relaxed geometry. Source: the Open Quantum Materials Database, functional PBE-GGA.

```
12
Lattice="8.9665 0.0000 0.0000 0.0000 4.1755 0.0000 -1.7998 0.0000 10.1101" Properties=species:S:1:pos:R:3 pbc="T T T"
Na 0.1074 1.0439 1.2521
Na 1.7289 1.0439 8.7408
Na 5.4378 3.1316 1.3693
Na 7.0593 3.1316 8.8580
Hf 2.2831 3.1316 3.5973
Hf 4.8836 1.0439 6.5127
Te 0.4200 1.0439 4.1412
Te 2.2951 3.1316 0.6828
Te 2.7564 3.1316 6.5316
Te 4.4103 1.0439 3.5785
Te 4.8716 1.0439 9.4272
Te 6.7467 3.1316 5.9689
```

Values from the calculation:
V: 31.543 Å³/atom
total magnetization: 0.0 μB/f.u.
symmetry: P2_1/m (11)

(17)
Crystalline GdTmHg2 at its relaxed geometry. Source: the Open Quantum Materials Database, functional PBE-GGA.

```
8
Lattice="3.6627 -5.2719 0.0000 3.6627 5.2719 0.0000 0.0000 0.0000 5.2565" Properties=species:S:1:pos:R:3 pbc="T T T"
Gd 3.6627 3.9033 3.9424
Gd 3.6627 -3.9033 1.3141
Tm 3.6627 1.3030 1.3141
Tm 3.6627 -1.3030 3.9424
Hg 1.8613 1.2860 3.9424
Hg 1.8613 -1.2860 1.3141
Hg 5.4641 1.2860 3.9424
Hg 5.4641 -1.2860 1.3141
```

Values from the calculation:
energy relative to the elements: -0.478 eV per atom
V: 25.375 Å³/atom
polymorph energy (0 for the lowest one): 3 meV/atom
total magnetization: 0.0 μB/f.u.
symmetry: Cmcm (63)

(18)
Crystalline PrNdNi2Sb4 at its relaxed geometry. Source: the Open Quantum Materials Database, functional PBE-GGA.

```
8
Lattice="4.4187 0.0000 0.0000 0.0000 4.4187 0.0000 0.0000 0.0000 9.8627" Properties=species:S:1:pos:R:3 pbc="T T T"
Pr 0.0000 0.0000 0.0000
Nd 2.2094 2.2094 5.1105
Ni 0.0000 2.2094 7.4819
Ni 2.2094 0.0000 7.4819
Sb 0.0000 0.0000 6.1943
Sb 0.0000 2.2094 2.5602
Sb 2.2094 0.0000 2.5602
Sb 2.2094 2.2094 8.7711
```

Values from the calculation:
V: 24.072 Å³/atom
total magnetization: 0.0 μB/f.u.
symmetry: P4mm (99)

(19)
Crystalline TcNiGeOs at its relaxed geometry. Source: the Open Quantum Materials Database, functional PBE-GGA.

```
4
Lattice="0.0000 3.0201 3.0201 3.0201 0.0000 3.0201 3.0201 3.0201 0.0000" Properties=species:S:1:pos:R:3 pbc="T T T"
Tc 0.0000 0.0000 0.0000
Ni 3.0201 3.0201 3.0201
Ge 1.5101 1.5101 1.5101
Os 4.5302 4.5302 4.5302
```

Values from the calculation:
V: 13.773 Å³/atom
total magnetization: 0.2 μB/f.u.
symmetry: F-43m (216)

(20)
Crystalline HfReOs2 at its relaxed geometry. Source: the Open Quantum Materials Database, functional PBE-GGA.

```
4
Lattice="0.0000 3.1683 3.1683 3.1683 0.0000 3.1683 3.1683 3.1683 0.0000" Properties=species:S:1:pos:R:3 pbc="T T T"
Hf 0.0000 0.0000 0.0000
Re 4.7525 4.7525 4.7525
Os 1.5842 1.5842 1.5842
Os 3.1683 3.1683 3.1683
```

Values from the calculation:
energy relative to the elements: 0.191 eV per atom
V: 15.902 Å³/atom
total magnetization: 1.0 μB/f.u.
symmetry: F-43m (216)

(21)
Crystalline TbHO2 at its relaxed geometry. Source: the Open Quantum Materials Database, functional PBE-GGA.

```
8
Lattice="4.2014 0.0000 0.0000 0.0000 4.3447 0.0000 -0.3609 0.0000 4.8290" Properties=species:S:1:pos:R:3 pbc="T T T"
Tb 0.7553 1.0862 1.6324
Tb 3.0851 3.2585 3.1966
H 1.6682 1.0862 4.1163
H 2.1723 3.2585 0.7127
O 0.7008 1.0862 4.2760
O 0.9765 3.2585 2.3253
O 2.8640 1.0862 2.5037
O 3.1397 3.2585 0.5530
```

Values from the calculation:
V: 11.018 Å³/atom
total magnetization: 0.0 μB/f.u.
symmetry: P2_1/m (11)

(22)
Crystalline DyEr2Tm3Sb2Os at its relaxed geometry. Source: the Open Quantum Materials Database, functional PBE-GGA.

```
9
Lattice="4.1988 0.0000 0.0000 0.0000 7.0064 4.0508 0.0000 -7.0064 4.0508" Properties=species:S:1:pos:R:3 pbc="T T T"
Dy 0.0000 0.0000 0.0000
Er 0.0000 -2.7384 4.7582
Er 0.0000 2.7384 4.7582
Tm 2.0994 -1.6493 2.2261
Tm 2.0994 1.6493 2.2261
Tm 2.0994 0.0000 5.0976
Sb 2.0994 -4.6636 3.1742
Sb 2.0994 4.6636 3.1742
Os 0.0000 0.0000 3.2028
```

Values from the calculation:
V: 26.482 Å³/atom
total magnetization: 0.0 μB/f.u.
symmetry: Amm2 (38)

(23)
Crystalline LiPaTl at its relaxed geometry. Source: the Open Quantum Materials Database, functional PBE-GGA.

```
3
Lattice="0.0000 3.4913 3.4913 3.4913 0.0000 3.4913 3.4913 3.4913 0.0000" Properties=species:S:1:pos:R:3 pbc="T T T"
Li 0.0000 0.0000 0.0000
Pa 3.4913 3.4913 3.4913
Tl 1.7457 1.7457 1.7457
```

Values from the calculation:
V: 28.371 Å³/atom
polymorph energy (0 for the lowest one): 0 meV/atom
total magnetization: 1.0 μB/f.u.
symmetry: F-43m (216)

The evaluated VASP energy for the records listed, in turn: -32.8, -28.9, -12.9, -58.6, -13.5, -22.3, -14.4, -35.8, -15.6, -43.0, -23.1, -148.0, -24.5, -19.0, -91.9, -26.9, -11.6, -43.0, -30.9, -44.1, -27.8, -52.8, -12.1 eV per formula unit.